# 1
{"formula": "NaB2PN", "functional": "PBE", "state": "optimized geometry", "dft_energy_ev_per_cell": -13.4, "spacegroup": "P4/mmm, No. 123", "crystal_system": "tetragonal", "lattice": [[-4.164, 0.223, -1.347], [-0.985, -3.482, 2.471], [-0.872, 2.448, 3.101]], "species": ["P", "B", "B", "N", "Na"], "frac_coords": [[0.500, 0.500, 0.500], [0.000, 0.500, 0.000], [0.500, 0.000, 0.000], [0.000, 0.000, 0.500], [0.000, 0.000, 0.000]]}

---

# 2
{"formula": "TiNi5Pt8", "functional": "PBE", "state": "optimized geometry", "dft_energy_ev_per_cell": -86.0, "ef_mev_per_atom": -59, "spacegroup": "I-4, No. 82", "crystal_system": "tetragonal", "lattice": [[6.455, -0.026, 0.044], [-2.208, 6.066, -0.044], [-2.039, -3.080, 5.295]], "species": ["Ti", "Ni", "Ni", "Ni", "Ni", "Ni", "Pt", "Pt", "Pt", "Pt", "Pt", "Pt", "Pt", "Pt"], "frac_coords": [[0.250, 0.500, 0.750], [0.034, 0.319, 0.122], [0.878, 0.912, 0.197], [0.803, 0.681, 0.715], [0.500, 0.000, 0.500], [0.285, 0.088, 0.966], [0.145, 0.721, 0.069], [0.931, 0.076, 0.652], [0.751, 0.264, 0.349], [0.651, 0.401, 0.915], [0.514, 0.599, 0.249], [0.576, 0.924, 0.855], [0.348, 0.279, 0.424], [0.085, 0.736, 0.486]]}

---

# 3
{"formula": "LaPm2WN4", "functional": "PBE", "state": "optimized geometry", "dft_energy_ev_per_cell": -137.9, "spacegroup": "Cmcm, No. 63", "crystal_system": "orthorhombic", "lattice": [[3.495, 0.000, 0.000], [-1.748, 6.116, 0.000], [0.000, 0.000, 12.367]], "species": ["La", "La", "Pm", "Pm", "Pm", "Pm", "W", "W", "N", "N", "N", "N", "N", "N", "N", "N"], "frac_coords": [[0.083, 0.167, 0.750], [0.917, 0.833, 0.250], [0.370, 0.740, 0.539], [0.630, 0.260, 0.039], [0.630, 0.260, 0.461], [0.370, 0.740, 0.961], [0.826, 0.653, 0.750], [0.174, 0.347, 0.250], [0.266, 0.532, 0.127], [0.734, 0.468, 0.627], [0.734, 0.468, 0.873], [0.266, 0.532, 0.373], [0.000, 0.000, 0.500], [0.000, 0.000, 0.000], [0.424, 0.848, 0.750], [0.576, 0.152, 0.250]]}